DFT (PBE-GGA) results for a geometry-optimized PrNd2DyMg structure.

Output
* E_form: 0.02 eV per atom

Cell lengths 5.721, 6.262, 9.598 Å; angles 70.52, 90.00, 90.00 degrees
Positions (direct):
Pr1 0.750 0.356 0.610
Pr2 0.250 0.644 0.390
Nd1 0.750 0.747 0.800
Nd2 0.250 0.253 0.200
Nd3 0.250 0.015 0.609
Nd4 0.750 0.985 0.391
Dy1 0.250 0.835 0.003
Dy2 0.750 0.165 0.997
Mg1 0.750 0.584 0.190
Mg2 0.250 0.416 0.810



DFT (PBE-GGA) results for a geometry-optimized PrMgAg3 structure.

Output
* E_form: -0.12 eV per atom

Cell lengths 5.728, 10.155, 7.014 Å; angles 136.38, 114.10, 90.00 degrees
Positions (direct):
Pr1 0.250 0.242 0.500
Pr2 0.750 0.758 0.500
Mg1 0.000 0.500 0.000
Mg2 0.500 0.000 0.000
Ag1 0.813 0.313 0.126
Ag2 0.313 0.313 0.126
Ag3 0.687 0.687 0.874
Ag4 0.187 0.687 0.874
Ag5 0.250 0.934 0.500
Ag6 0.750 0.066 0.500



DFT (PBE-GGA) results for a geometry-optimized LiZrAu3 structure.

Output
* ΔE to the lowest computed polymorph: 0.358 eV/atom
* E_form: -0.03 eV per atom

Cell lengths 4.503, 4.503, 4.503 Å; angles 90.00, 90.00, 90.00 degrees
Positions (direct):
Au1 0.000 0.500 0.000
Au2 0.000 0.000 0.500
Au3 0.500 0.000 0.000
Zr1 0.500 0.500 0.500
Li1 0.000 0.000 0.000



DFT (PBE-GGA) results for a geometry-optimized LiPaSbPt structure.

Output
* E_form (uncorrected): -0.550 eV per atom

Cell lengths 4.946, 4.946, 4.946 Å; angles 60.00, 60.00, 60.00 degrees
Positions (direct):
Sb1 0.250 0.250 0.250
Pa1 0.000 0.000 0.000
Pt1 0.750 0.750 0.750
Li1 0.500 0.500 0.500



no.,DOS(E_F) (states/eV per atom)
1,1.37
2,0.76
3,0.75
4,1.08